Arrangement A

# LaNiN2F

A relaxed structure of LaNiN2F (PBE+U, Alexandria).

Output
D(E_F) (states/eV/f.u.): 2.5
Volume (Å³ per cell): 60.9

abc: 3.872 3.872 4.063
angles: 90.00 90.00 90.00
Space group P4/mmm (No. 123)
Inequivalent atoms, fractional coordinates:
La: 0.000 0.000 0.000 [1 per cell]
Ni: 0.500 0.500 0.500 [1 per cell]
N: 0.000 0.500 0.500 [2 per cell]
F: 0.500 0.500 0.000 [1 per cell]



Arrangement B

# LaNiN2F

A relaxed structure of LaNiN2F (PBE+U, Alexandria).

Output
D(E_F) (states/eV/f.u.): 2.2
Volume (Å³ per cell): 89.4

abc: 4.387 4.387 4.642
angles: 90.00 90.00 90.00
Space group P4/mmm (No. 123)
Inequivalent atoms, fractional coordinates:
La: 0.000 0.000 0.000 [1 per cell]
Ni: 0.500 0.500 0.500 [1 per cell]
N: 0.000 0.500 0.000 [2 per cell]
F: 0.000 0.000 0.500 [1 per cell]



It is arrangement B that is the least stable of them.



Arrangement A

# LaNiNF2

A relaxed structure of LaNiNF2 (PBE+U, Alexandria).

Output
Volume (Å³ per cell): 65.3

abc: 3.896 3.896 4.300
angles: 90.00 90.00 90.00
Space group P4/mmm (No. 123)
Inequivalent atoms, fractional coordinates:
La: 0.000 0.000 0.000 [1 per cell]
Ni: 0.500 0.500 0.500 [1 per cell]
N: 0.500 0.500 0.000 [1 per cell]
F: 0.000 0.500 0.500 [2 per cell]



Arrangement B

# LaNiNF2

A relaxed structure of LaNiNF2 (PBE+U, Alexandria).

Output
D(E_F) (states/eV/f.u.): 0.3
Volume (Å³ per cell): 95.8

abc: 4.646 4.646 4.440
angles: 90.00 90.00 90.00
Space group P4/mmm (No. 123)
Inequivalent atoms, fractional coordinates:
La: 0.000 0.000 0.000 [1 per cell]
Ni: 0.500 0.500 0.500 [1 per cell]
N: 0.000 0.000 0.500 [1 per cell]
F: 0.000 0.500 0.000 [2 per cell]



It is arrangement B that is the least stable of them.